The following is a SCAN calculation of a PBEsol-optimized structure of Li2MnO2, from the Alexandria database.

Geometry as POSCAR:
```
Li2MnO2
1.0
-2.516 0.777 -0.937
-0.606 -3.541 -1.309
-0.256 0.239 5.055
Mn O Li
1 2 2
direct
0.500 0.500 0.000
0.855 0.355 0.710
0.145 0.645 0.290
0.806 0.806 0.612
0.194 0.194 0.388
```

## Properties
Mass density ... 3.50 g/cm3
Energy ... -45.60 eV/cell
Energy relative to the elements, uncorrected ... -2.02 eV per atom
Relative energy among the computed polymorphs ... 0.00 kcal/mol of atoms
N(E_F) ... 0.0944 states/eV/atom